K3In2Pt | PBE | optimized geometry

Structure (POSCAR):
```
K3In2Pt
1.0
5.0272 -6.0777 0.0000
5.0272 6.0777 0.0000
0.0000 0.0000 6.9380
K In Pt
6 4 2
direct
0.0488 0.5876 0.2500 K
0.0968 0.9032 0.7500 K
0.4124 0.9512 0.2500 K
0.5876 0.0488 0.7500 K
0.9032 0.0968 0.2500 K
0.9512 0.4124 0.7500 K
0.3383 0.3383 0.0000 In
0.3383 0.3383 0.5000 In
0.6617 0.6617 0.0000 In
0.6617 0.6617 0.5000 In
0.3869 0.6131 0.7500 Pt
0.6131 0.3869 0.2500 Pt
```

## Properties
E_form = -14.52 kJ per mole of atoms
E = -2.62 eV per atom
symmetry = Cmcm (63)
crystal system = orthorhombic